[1]
{"formula": "Tc2AsSe", "functional": "PBE-GGA", "state": "optimized geometry", "de_polymorph_mev_per_atom": 580.7, "e_form_raw_ev_per_atom": 0.4822, "volume_a3_per_atom": 16.2, "lattice_angstrom": [[3.038, -0.001, 0.000], [-1.499, 2.643, 0.000], [0.000, 0.000, 8.078]], "species": ["As", "Tc", "Tc", "Se"], "fractional_positions": [[0.500, 0.500, 0.250], [0.000, 0.000, 0.009], [0.000, 0.000, 0.491], [0.500, 0.500, 0.750]]}

[2]
{"formula": "BaNdTlPb", "functional": "PBE-GGA", "state": "optimized geometry", "formation_enthalpy_0k_kj_per_mol_atoms": -35.1, "volume_a3_per_atom": 34.8, "lattice_angstrom": [[5.817, 0.000, 0.000], [2.909, 5.038, 0.000], [2.909, 1.679, 4.750]], "species": ["Pb", "Tl", "Nd", "Ba"], "fractional_positions": [[0.500, 0.500, 0.500], [0.000, 0.000, 0.000], [0.250, 0.250, 0.250], [0.750, 0.750, 0.750]]}

[3]
{"formula": "Tm12Ni6Os", "functional": "PBE-GGA", "state": "optimized geometry", "formation_enthalpy_0k_kj_per_mol_atoms": -29.9, "de_polymorph_mev_per_atom": 0.0, "volume_a3_per_atom": 21.7, "lattice_angstrom": [[7.659, 0.000, -2.708], [-3.830, 6.633, -2.708], [0.000, 0.000, 8.124]], "species": ["Tm", "Tm", "Tm", "Tm", "Tm", "Tm", "Tm", "Tm", "Tm", "Tm", "Tm", "Tm", "Ni", "Ni", "Ni", "Ni", "Ni", "Ni", "Os"], "fractional_positions": [[0.294, 0.112, 0.818], [0.294, 0.475, 0.182], [0.706, 0.525, 0.818], [0.706, 0.888, 0.182], [0.112, 0.818, 0.294], [0.475, 0.182, 0.294], [0.525, 0.818, 0.706], [0.888, 0.182, 0.706], [0.818, 0.294, 0.112], [0.182, 0.294, 0.475], [0.818, 0.706, 0.525], [0.182, 0.706, 0.888], [0.372, 0.500, 0.872], [0.628, 0.500, 0.128], [0.500, 0.872, 0.372], [0.500, 0.128, 0.628], [0.872, 0.372, 0.500], [0.128, 0.628, 0.500], [0.000, 0.000, 0.000]]}